(1)
Crystalline KRbGaBi at its relaxed geometry. Source: the Alexandria database, functional PBE-GGA.

Results
Its raw total energy is -0.174 Ry/atom. The density of states at the Fermi level is 0.3204 states/eV/atom. For the density, the calculation gives 4.63 g/cm³. The formation energy comes out at -0.127 eV per atom. As for the crystal system: cubic.

Structure (CIF):
```
data_KRbGaBi
_space_group_name_H-M_alt 'F -4 3 m'
_space_group_IT_number 216
_space_group_name_Hall 'F -4 2 3'
_cell_length_a 8.332
_cell_length_b 8.332
_cell_length_c 8.332
_cell_angle_alpha 90.00
_cell_angle_beta 90.00
_cell_angle_gamma 90.00
loop_
_atom_site_label
_atom_site_type_symbol
_atom_site_fract_x
_atom_site_fract_y
_atom_site_fract_z
K1 K 0.000 0.000 0.000
Rb1 Rb 0.250 0.250 0.750
Ga1 Ga 0.000 0.000 0.500
Bi1 Bi 0.250 0.250 0.250
```


(2)
Crystalline LaNdBiTe at its relaxed geometry. Source: the Alexandria database, functional PBE-GGA.

Results
Its raw total energy is -0.386 Ry/atom. The density of states at the Fermi level is 0.7342 states/eV/atom. For the density, the calculation gives 8.23 g/cm³. As for the crystal system: cubic. The calculation puts the energy relative to the elements, uncorrected at -1.073 eV per atom.

Structure (CIF):
```
data_LaNdBiTe
_space_group_name_H-M_alt 'F -4 3 m'
_space_group_IT_number 216
_space_group_name_Hall 'F -4 2 3'
_cell_length_a 7.937
_cell_length_b 7.937
_cell_length_c 7.937
_cell_angle_alpha 90.00
_cell_angle_beta 90.00
_cell_angle_gamma 90.00
loop_
_atom_site_label
_atom_site_type_symbol
_atom_site_fract_x
_atom_site_fract_y
_atom_site_fract_z
La1 La 0.000 0.000 0.000
Nd1 Nd 0.000 0.000 0.500
Bi1 Bi 0.250 0.250 0.250
Te1 Te 0.250 0.250 0.750
```


(3)
Crystalline K4Na4Hg at its relaxed geometry. Source: the Alexandria database, functional PBE-GGA.

Results
Its raw total energy is -0.084 Ry/atom. The density of states at the Fermi level is 0.6667 states/eV/atom. For the density, the calculation gives 1.67 g/cm³. The formation energy comes out at -0.032 eV per atom. As for the crystal system: tetragonal.

Structure (CIF):
```
data_K4Na4Hg
_space_group_name_H-M_alt 'I -4 2 m'
_space_group_IT_number 121
_space_group_name_Hall 'I -4 2'
_cell_length_a 7.244
_cell_length_b 7.244
_cell_length_c 16.972
_cell_angle_alpha 90.00
_cell_angle_beta 90.00
_cell_angle_gamma 90.00
loop_
_atom_site_label
_atom_site_type_symbol
_atom_site_fract_x
_atom_site_fract_y
_atom_site_fract_z
K1 K 0.217 0.217 0.329
Na1 Na 0.211 0.211 0.062
Hg1 Hg 0.000 0.000 0.500
```


(4)
Crystalline CeDy5N6 at its relaxed geometry. Source: the Alexandria database, functional PBE-GGA.

Results
Its raw total energy is -0.607 Ry/atom. The density of states at the Fermi level is 0.2179 states/eV/atom. For the density, the calculation gives 9.58 g/cm³. As for the crystal system: monoclinic. The calculation puts the energy relative to the elements, uncorrected at -1.679 eV per atom.

Structure (CIF):
```
data_CeDy5N6
_space_group_name_H-M_alt 'C 1 2/m 1'
_space_group_IT_number 12
_cell_length_a 6.037
_cell_length_b 10.456
_cell_length_c 6.038
_cell_angle_alpha 90.00
_cell_angle_beta 109.44
_cell_angle_gamma 90.00
loop_
_space_group_symop_operation_xyz
'x,y,z'
'-x,-y,-z'
'-x,y,-z'
'x,-y,z'
'x+1/2,y+1/2,z'
'-x+1/2,-y+1/2,-z'
'-x+1/2,y+1/2,-z'
'x+1/2,-y+1/2,z'
loop_
_atom_site_label
_atom_site_type_symbol
_atom_site_fract_x
_atom_site_fract_y
_atom_site_fract_z
Ce1 Ce 0.000 0.000 0.000
Dy1 Dy 0.000 0.167 0.500
Dy2 Dy 0.000 0.334 0.000
Dy3 Dy 0.000 0.500 0.500
N1 N 0.248 0.000 0.752
N2 N 0.249 0.165 0.250
```